Here is a relaxed structure of CaNdAg2 from the Alexandria database. Energies are from GGA-PBE.

The value obtained for the energy above the lowest structure with this stoichiometry is 14 meV per atom. For the magnetic moment, the calculation gives 0.000 μB per formula unit. For the density of states at the Fermi level, the calculation gives 3.41 states/eV per cell.

a b c (Å): 3.734 3.734 7.515
angles (deg): 90.00 90.00 90.00
Element x y z (fractional)
Ca1 0.500 0.500 0.500
Ag1 0.000 0.000 0.243
Ag2 0.000 0.000 0.757
Nd1 0.500 0.500 0.000

Here is a relaxed structure of GdAlZnAu from the Alexandria database. Energies are from GGA-PBE.

The uncorrected energy is -6.11 eV per atom. For the magnetic moment, the calculation gives 6.921 μB per formula unit. For the density of states at the Fermi level, the calculation gives 2.06 states/eV per cell.

a b c (Å): 4.809 4.809 4.809
angles (deg): 60.00 60.00 60.00
Site moments in Bohr magnetons follow the coordinates.
Element x y z (fractional)
Al1 0.250 0.250 0.250  -0.02
Au1 0.000 0.000 0.000  -0.02
Gd1 0.750 0.750 0.750  6.95
Zn1 0.500 0.500 0.500  -0.01

Here is a relaxed structure of NdZn2 from the Alexandria database. Energies are from GGA-PBE.

The uncorrected energy is -2.76 eV per atom. For the magnetic moment, the calculation gives 0.000 μB per formula unit. For the density of states at the Fermi level, the calculation gives 2.48 states/eV per cell.

a b c (Å): 5.582 5.582 5.582
angles (deg): 60.00 60.00 60.00
Element x y z (fractional)
Nd1 0.250 0.250 0.250
Nd2 0.000 0.000 0.000
Zn1 0.625 0.625 0.625
Zn2 0.625 0.125 0.625
Zn3 0.625 0.625 0.125
Zn4 0.125 0.625 0.625

Here is a relaxed structure of TaH2Cl8 from the Alexandria database. Energies are from GGA-PBE.

The uncorrected energy is -3.86 eV per atom. For the magnetic moment, the calculation gives 1.066 μB per formula unit. For the density of states at the Fermi level, the calculation gives 14.44 states/eV per cell.

a b c (Å): 7.533 7.747 7.747
angles (deg): 52.62 81.70 81.70
Site moments in Bohr magnetons follow the coordinates.
Element x y z (fractional)
H1 0.562 0.245 0.245  0.00
H2 0.438 0.755 0.755  0.00
Cl1 0.691 0.071 0.071  0.12
Cl2 0.477 0.334 0.334  0.06
Cl3 0.059 0.869 0.353  0.13
Cl4 0.941 0.131 0.647  0.13
Cl5 0.523 0.666 0.666  0.06
Cl6 0.941 0.647 0.131  0.13
Cl7 0.059 0.353 0.869  0.13
Cl8 0.309 0.929 0.929  0.12
Ta1 0.000 0.000 0.000  -0.04

Here is a relaxed structure of B2C from the Alexandria database. Energies are from GGA-PBE.

The value obtained for the energy above the lowest structure with this stoichiometry is 156 meV per atom. For the magnetic moment, the calculation gives 0.000 μB per formula unit. For the density of states at the Fermi level, the calculation gives 0.98 states/eV per cell.

a b c (Å): 4.459 4.459 8.951
angles (deg): 60.89 60.89 34.06
Element x y z (fractional)
B1 0.728 0.728 0.115
B2 0.137 0.137 0.039
B3 0.839 0.839 0.246
B4 0.956 0.956 0.014
B5 0.361 0.361 0.960
B6 0.730 0.730 0.608
B7 0.023 0.023 0.512
B8 0.536 0.536 0.356
C1 0.823 0.823 0.719
C2 0.356 0.356 0.341
C3 0.313 0.313 0.807
C4 0.196 0.196 0.532

Here is a relaxed structure of SmAl2Co from the Alexandria database. Energies are from GGA-PBE.

The uncorrected energy is -4.79 eV per atom. For the magnetic moment, the calculation gives 0.262 μB per formula unit. For the density of states at the Fermi level, the calculation gives 3.29 states/eV per cell.

a b c (Å): 3.212 3.212 8.722
angles (deg): 79.39 79.39 60.00
Site moments in Bohr magnetons follow the coordinates.
Element x y z (fractional)
Al1 0.271 0.271 0.186  0.00
Al2 0.729 0.729 0.814  0.00
Sm1 0.500 0.500 0.500  0.02
Co1 0.000 0.000 0.000  0.25

What is the magnetic moment in the third record?
0.000 μB per formula unit